1.
Density functional theory data (PBE) for PmMgMnCd after structural relaxation.

Unit cell a=7.190 b=7.190 c=7.190 alpha=90.00 beta=90.00 gamma=90.00
Space group F-43m (No. 216)
Asymmetric unit:
Pm  0.000  0.000  0.000 (multiplicity 4)
Mg  0.000  0.000  0.500 (multiplicity 4)
Mn  0.250  0.250  0.750 (multiplicity 4)
Cd  0.250  0.250  0.250 (multiplicity 4)

## Properties
Energy of formation in eV/atom: 0.048

---

2.
Density functional theory data (PBE) for MgMnCdPt2 after structural relaxation.

Unit cell a=4.679 b=4.679 c=4.820 alpha=90.00 beta=90.00 gamma=90.00
Space group P4/mmm (No. 123)
Asymmetric unit:
Mg  0.000  0.000  0.000 (multiplicity 1)
Mn  0.500  0.500  0.500 (multiplicity 1)
Cd  0.000  0.000  0.500 (multiplicity 1)
Pt  0.000  0.500  0.000 (multiplicity 2)

## Properties
Energy of formation in eV/atom: 0.708

---

3.
Density functional theory data (PBE) for MgMnCdRu2 after structural relaxation.

Unit cell a=4.413 b=4.413 c=4.897 alpha=90.00 beta=90.00 gamma=90.00
Space group P4/mmm (No. 123)
Asymmetric unit:
Mg  0.000  0.000  0.000 (multiplicity 1)
Mn  0.500  0.500  0.500 (multiplicity 1)
Cd  0.500  0.500  0.000 (multiplicity 1)
Ru  0.000  0.500  0.500 (multiplicity 2)

## Properties
Energy of formation in eV/atom: 0.843
Energy above the most stable polymorph in this dataset in kJ per mole of atoms: 0.00

---

4.
Density functional theory data (PBE) for MgMn2CdSn after structural relaxation.

Unit cell a=5.151 b=5.151 c=5.317 alpha=90.00 beta=90.00 gamma=90.00
Space group P4/mmm (No. 123)
Asymmetric unit:
Mg  0.000  0.000  0.000 (multiplicity 1)
Mn  0.000  0.500  0.000 (multiplicity 2)
Cd  0.000  0.000  0.500 (multiplicity 1)
Sn  0.500  0.500  0.500 (multiplicity 1)

## Properties
Energy of formation in eV/atom: 1.001

---

5.
Density functional theory data (PBE) for YMgMnCd2 after structural relaxation.

Unit cell a=5.079 b=5.079 c=5.609 alpha=90.00 beta=90.00 gamma=90.00
Space group P4/mmm (No. 123)
Asymmetric unit:
Y  0.000  0.000  0.000 (multiplicity 1)
Mg  0.000  0.000  0.500 (multiplicity 1)
Mn  0.500  0.500  0.000 (multiplicity 1)
Cd  0.000  0.500  0.500 (multiplicity 2)

## Properties
Energy of formation in eV/atom: 0.792

---

6.
Density functional theory data (PBE) for MgCdMo2 after structural relaxation.

Unit cell a=10.310 b=3.489 c=4.207 alpha=90.00 beta=113.26 gamma=90.00
Space group C2/m (No. 12)
Asymmetric unit:
Mg  0.000  0.000  0.000 (multiplicity 2)
Cd  0.000  0.500  0.500 (multiplicity 2)
Mo  0.249  0.500  0.229 (multiplicity 4)

## Properties
Energy of formation in eV/atom: 0.348
Energy above the most stable polymorph in this dataset in kJ per mole of atoms: 14.54

---

7.
Density functional theory data (PBE) for MgCdMo2 after structural relaxation.

Unit cell a=2.745 b=4.314 c=5.979 alpha=90.00 beta=90.00 gamma=90.00
Space group Pmm2 (No. 25)
Asymmetric unit:
Mg  0.000  0.000  0.000 (multiplicity 1)
Cd  0.500  0.500  0.760 (multiplicity 1)
Mo  0.000  0.000  0.477 (multiplicity 1)
Mo  0.500  0.500  0.270 (multiplicity 1)

## Properties
Energy of formation in eV/atom: 0.382
Energy above the most stable polymorph in this dataset in kJ per mole of atoms: 17.81

---

8.
Density functional theory data (PBE) for MgCdMo2 after structural relaxation.

Unit cell a=4.620 b=4.620 c=3.270 alpha=90.00 beta=90.00 gamma=90.00
Space group P4/mmm (No. 123)
Asymmetric unit:
Mg  0.000  0.000  0.000 (multiplicity 1)
Cd  0.500  0.500  0.000 (multiplicity 1)
Mo  0.000  0.500  0.500 (multiplicity 2)

## Properties
Energy of formation in eV/atom: 0.827
Energy above the most stable polymorph in this dataset in kJ per mole of atoms: 60.74